DFT (PBE) results for a geometry-optimized La2Cd2Si structure.

Geometry as POSCAR:
```
La2Cd2Si
1.0
-1.981 1.981 9.173
1.981 -1.981 9.173
1.981 1.981 -9.173
La Cd Si
2 2 1
Direct
0.084 0.084 0.000
0.916 0.916 0.000
0.250 0.750 0.500
0.750 0.250 0.500
0.500 0.500 0.000
```

Calculated values
E_form (uncorrected) ... -0.238 eV/atom
Energy relative to the lowest polymorph listed for this composition ... 0.00 kcal/mol of atoms
Magnetic moment ... 0.0 Bohr magnetons per cell



DFT (PBE) results for a geometry-optimized LiHf2O structure.

Geometry as POSCAR:
```
LiHf2O
1.0
1.505 0.869 8.884
-1.505 0.869 8.884
0.000 -1.738 8.884
Li Hf O
1 2 1
Direct
0.000 0.000 0.000
0.109 0.109 0.109
0.891 0.891 0.891
0.500 0.500 0.500
```

Calculated values
E_form (uncorrected) ... -0.828 eV/atom
Magnetic moment ... 0.0 Bohr magnetons per cell



DFT (PBE) results for a geometry-optimized Be2ZnP structure.

Geometry as POSCAR:
```
Be2ZnP
1.0
3.839 -1.301 0.000
3.839 1.301 0.000
-2.008 0.000 5.179
Be Zn P
2 1 1
Direct
0.000 0.000 0.000
0.249 0.249 0.845
0.782 0.782 0.228
0.488 0.488 0.650
```

Calculated values
Energy relative to the lowest polymorph listed for this composition ... 0.42 kcal/mol of atoms
Magnetic moment ... 0.0 Bohr magnetons per cell



DFT (PBE) results for a geometry-optimized TeMoW structure.

Geometry as POSCAR:
```
TeMoW
1.0
3.241 0.000 0.000
-1.621 2.807 0.000
0.000 0.000 6.444
Te Mo W
1 1 1
Direct
0.000 0.000 0.000
0.333 0.667 0.629
0.667 0.333 0.362
```

Calculated values
E_form (uncorrected) ... 0.498 eV/atom
Energy relative to the lowest polymorph listed for this composition ... 0.00 kcal/mol of atoms
Magnetic moment ... 0.0 Bohr magnetons per cell



DFT (PBE) results for a geometry-optimized GeTeAuN2 structure.

Geometry as POSCAR:
```
GeTeAuN2
1.0
3.876 0.000 0.000
0.000 3.876 0.000
0.000 0.000 6.128
Ge Te Au N
1 1 1 2
Direct
0.000 0.000 0.000
0.000 0.000 0.500
0.500 0.500 0.500
0.000 0.500 0.000
0.500 0.000 0.000
```

Calculated values
E_form (uncorrected) ... 1.193 eV/atom
Energy relative to the lowest polymorph listed for this composition ... 0.00 kcal/mol of atoms
Magnetic moment ... 2.4 Bohr magnetons per cell



DFT (PBE) results for a geometry-optimized LiPm2AlIr2 structure.

Geometry as POSCAR:
```
LiPm2AlIr2
1.0
-2.857 7.284 2.938
2.857 -7.284 2.938
2.857 7.284 -2.938
Li Pm Al Ir
2 4 2 4
Direct
0.250 0.250 0.000
0.750 0.750 0.000
0.170 0.230 0.401
0.330 0.730 0.060
0.670 0.270 0.940
0.830 0.770 0.599
0.250 0.750 0.500
0.750 0.250 0.500
0.117 0.723 0.840
0.383 0.223 0.606
0.617 0.777 0.394
0.883 0.277 0.160
```

Calculated values
Magnetic moment ... 0.0 Bohr magnetons per cell



DFT (PBE) results for a geometry-optimized CaPr2Pd3 structure.

Geometry as POSCAR:
```
CaPr2Pd3
1.0
6.688 -2.973 0.000
6.688 2.973 0.000
-2.645 0.000 7.980
Ca Pr Pd
2 4 6
Direct
0.006 0.994 0.750
0.994 0.006 0.250
0.332 0.334 0.917
0.334 0.332 0.417
0.666 0.668 0.583
0.668 0.666 0.083
0.167 0.169 0.584
0.169 0.167 0.084
0.493 0.507 0.250
0.507 0.493 0.750
0.831 0.833 0.916
0.833 0.831 0.416
```

Calculated values
Energy relative to the lowest polymorph listed for this composition ... 2.56 kcal/mol of atoms
Magnetic moment ... 0.0 Bohr magnetons per cell



DFT (PBE) results for a geometry-optimized Sc3AuO structure.

Geometry as POSCAR:
```
Sc3AuO
1.0
0.000 5.838 5.838
5.838 0.000 5.838
5.838 5.838 0.000
Sc Au O
12 4 4
Direct
0.067 0.067 0.683
0.067 0.683 0.067
0.067 0.683 0.683
0.317 0.317 0.933
0.317 0.933 0.317
0.317 0.933 0.933
0.683 0.067 0.067
0.683 0.067 0.683
0.683 0.683 0.067
0.933 0.317 0.317
0.933 0.317 0.933
0.933 0.933 0.317
0.000 0.500 0.500
0.500 0.000 0.500
0.500 0.500 0.000
0.500 0.500 0.500
0.000 0.000 0.000
0.000 0.000 0.500
0.000 0.500 0.000
0.500 0.000 0.000
```

Calculated values
E_form (uncorrected) ... -1.070 eV/atom
Magnetic moment ... 2.7 Bohr magnetons per cell



DFT (PBE) results for a geometry-optimized YZn2Os structure.

Geometry as POSCAR:
```
YZn2Os
1.0
-2.087 2.087 9.306
2.087 -2.087 9.306
2.087 2.087 -9.306
Y Zn Os
2 4 2
Direct
0.000 0.000 0.000
0.750 0.250 0.500
0.238 0.625 0.113
0.375 0.488 0.613
0.512 0.125 0.887
0.875 0.762 0.387
0.250 0.750 0.500
0.500 0.500 0.000
```

Calculated values
Energy relative to the lowest polymorph listed for this composition ... 7.14 kcal/mol of atoms
Magnetic moment ... 0.0 Bohr magnetons per cell



| no. | E_tot (Ry/atom) |
| --- | --- |
| 1 | -0.2690 |
| 2 | -0.5529 |
| 3 | -0.2417 |
| 4 | -0.6231 |
| 5 | -0.3193 |
| 6 | -0.4512 |
| 7 | -0.3770 |
| 8 | -0.4789 |
| 9 | -0.3583 |